(1)
VASP calculation (SCAN) on a crystal of SrInTeN2 relaxed with PBEsol.

Structure (CIF):
```
data_SrInTeN2
_chemical_formula_sum 'Sr1 In1 Te1 N2'
_symmetry_space_group_name_H-M 'P 4/m m m'
_symmetry_Int_Tables_number 123
_symmetry_space_group_name_Hall '-P 4 2'
_cell_length_a 4.748
_cell_length_b 4.748
_cell_length_c 6.474
_cell_angle_alpha 90.00
_cell_angle_beta 90.00
_cell_angle_gamma 90.00
loop_
_atom_site_label
_atom_site_type_symbol
_atom_site_fract_x
_atom_site_fract_y
_atom_site_fract_z
_atom_site_occupancy
Sr1 Sr 0.000 0.000 0.000 1
In1 In 0.500 0.500 0.500 1
Te1 Te 0.000 0.000 0.500 1
N1 N 0.000 0.500 0.000 1
```

Results
The polymorph energy (0 for the lowest one) is 548 meV/atom. The value obtained for the total moment is 4.43 μB per formula unit. For the calculated total energy, the calculation gives -21.294 eV per atom. As for the uncorrected formation energy: 1.005 eV per atom.

---

(2)
VASP calculation (SCAN) on a crystal of Tb3InN relaxed with PBEsol.

Structure (CIF):
```
data_Tb3InN
_chemical_formula_sum 'Tb3 In1 N1'
_symmetry_space_group_name_H-M 'P m -3 m'
_symmetry_Int_Tables_number 221
_symmetry_space_group_name_Hall '-P 4 2 3'
_cell_length_a 4.779
_cell_length_b 4.779
_cell_length_c 4.779
_cell_angle_alpha 90.00
_cell_angle_beta 90.00
_cell_angle_gamma 90.00
loop_
_atom_site_label
_atom_site_type_symbol
_atom_site_fract_x
_atom_site_fract_y
_atom_site_fract_z
_atom_site_occupancy
Tb1 Tb 0.000 0.000 0.500 1
In1 In 0.500 0.500 0.500 1
N1 N 0.000 0.000 0.000 1
```

Results
The value obtained for the total moment is 0.00 μB per formula unit. For the calculated total energy, the calculation gives -37.784 eV per atom. As for the uncorrected formation energy: -1.192 eV per atom.

---

(3)
VASP calculation (SCAN) on a crystal of InTc3N relaxed with PBEsol.

Structure (CIF):
```
data_InTc3N
_chemical_formula_sum 'In1 Tc3 N1'
_symmetry_space_group_name_H-M 'P m -3 m'
_symmetry_Int_Tables_number 221
_symmetry_space_group_name_Hall '-P 4 2 3'
_cell_length_a 4.992
_cell_length_b 4.992
_cell_length_c 4.992
_cell_angle_alpha 90.00
_cell_angle_beta 90.00
_cell_angle_gamma 90.00
loop_
_atom_site_label
_atom_site_type_symbol
_atom_site_fract_x
_atom_site_fract_y
_atom_site_fract_z
_atom_site_occupancy
In1 In 0.000 0.000 0.000 1
Tc1 Tc 0.000 0.000 0.500 1
N1 N 0.500 0.500 0.500 1
```

Results
The value obtained for the total moment is 12.20 μB per formula unit. For the calculated total energy, the calculation gives -26.165 eV per atom. As for the uncorrected formation energy: 3.406 eV per atom.

---

(4)
VASP calculation (SCAN) on a crystal of InTcN2 relaxed with PBEsol.

Structure (CIF):
```
data_InTcN2
_chemical_formula_sum 'In3 Tc3 N6'
_symmetry_space_group_name_H-M 'R -3 m'
_symmetry_Int_Tables_number 166
_symmetry_space_group_name_Hall '-R 3 2"'
_cell_length_a 2.9017
_cell_length_b 2.9017
_cell_length_c 20.4047
_cell_angle_alpha 90.00
_cell_angle_beta 90.00
_cell_angle_gamma 120.00
loop_
_atom_site_label
_atom_site_type_symbol
_atom_site_fract_x
_atom_site_fract_y
_atom_site_fract_z
_atom_site_occupancy
In1 In 0.0000 0.0000 0.0000 1
Tc1 Tc 0.0000 0.0000 0.5000 1
N1 N 0.0000 0.0000 0.1090 1
```

Results
The value obtained for the total moment is 0.00 μB per formula unit. For the calculated total energy, the calculation gives -21.628 eV per atom. As for the uncorrected formation energy: 0.129 eV per atom.